10
Lattice="6.782 0.000 0.000 0.000 6.782 0.000 0.000 0.000 4.318" Properties=species:S:1:pos:R:3 comment="Y2NiAs2 | Alexandria | PBE | relaxed" sg="P4/mbm, No. 127" e_tot_ev_per_atom=-6.4701 pbc="T T T"
Y 1.170 2.221 0.000
Y 2.221 5.612 0.000
Y 4.561 1.170 0.000
Y 5.612 4.561 0.000
Ni 0.000 0.000 2.159
Ni 3.391 3.391 2.159
As 0.955 4.346 2.159
As 2.436 0.955 2.159
As 4.346 5.828 2.159
As 5.828 2.436 2.159



5
Lattice="4.926 0.000 0.000 0.000 4.926 0.000 0.000 0.000 4.607" Properties=species:S:1:pos:R:3 comment="MnAl2CdMo | Alexandria | PBE | relaxed" sg="P4/mmm, No. 123" e_tot_ev_per_atom=-4.9106 pbc="T T T"
Mn 0.000 0.000 0.000
Al 0.000 2.463 2.303
Al 2.463 0.000 2.303
Cd 2.463 2.463 0.000
Mo 0.000 0.000 2.303



4
Lattice="1.558 0.900 9.103 -1.558 0.900 9.103 0.000 -1.800 9.103" Properties=species:S:1:pos:R:3 comment="CdCSe2 | Alexandria | PBE | relaxed" sg="R-3m, No. 166" raw_formation_energy_ev_per_atom=1.05 de_polymorph_mev_per_atom=398 e_tot_ev_per_atom=-3.2284 pbc="T T T"
Cd 0.000 0.000 0.000
C 0.000 0.000 13.655
Se 0.000 0.000 3.165
Se 0.000 0.000 24.145



Number 3 is which compound?
CdCSe2